Record 1
Ca2NiBr GGA-PBE relaxed; volume = 26.9 Å³ per atom; total DFT energy (no corrections) = -3.478 eV per atom; energy relative to the elements, uncorrected = -613.9 meV per atom; offset from the most stable computed form = 94.0 meV/atom
1.0
8.230 -0.008 0.006
6.560 4.970 -0.006
-7.401 -2.462 2.625
Ni Ca Br
1 2 1
Direct
0.550 0.550 0.000 Ni
0.972 0.972 0.000 Ca
0.681 0.181 0.500 Ca
0.297 0.797 0.500 Br

Record 2
NaLa3Cu GGA-PBE relaxed; volume = 38.0 Å³ per atom; total DFT energy (no corrections) = -3.823 eV per atom; offset from the most stable computed form = 0.0 meV/atom; ΔH_f (0 K) = 0.217 eV/atom
1.0
5.747 0.000 0.000
0.000 5.747 0.000
0.000 0.000 5.747
La Na Cu
3 1 1
Direct
0.500 0.000 0.000 La
0.000 0.500 0.000 La
0.000 0.000 0.500 La
0.500 0.500 0.500 Na
0.000 0.000 0.000 Cu

Record 3
Ac3P4Pt2 GGA-PBE relaxed; volume = 24.1 Å³ per atom; total DFT energy (no corrections) = -6.275 eV per atom; ΔH_f (0 K) = -1.159 eV/atom
1.0
-1.806 3.684 1.400
-4.359 -4.550 -0.356
3.529 -1.255 7.835
Pt Ac P
2 3 4
Direct
0.409 0.817 0.692 Pt
0.591 0.183 0.308 Pt
0.323 0.646 0.310 Ac
0.000 0.000 0.000 Ac
0.677 0.354 0.690 Ac
0.948 0.896 0.601 P
0.693 0.385 0.096 P
0.052 0.104 0.399 P
0.307 0.615 0.904 P